Entry 1:
First-principles (SCAN) data for a crystal of Re2HgIr relaxed with PBEsol, as listed in Alexandria via LeMat-Bulk.

Computed properties:
Raw total energy: -69.98 eV per atom

The structure in CIF format:
```
data_Re2HgIr
_space_group_name_H-M_alt 'R -3 m'
_space_group_IT_number 166
_space_group_name_Hall '-R 3 2"'
_cell_length_a 2.7750
_cell_length_b 2.7750
_cell_length_c 27.9342
_cell_angle_alpha 90.00
_cell_angle_beta 90.00
_cell_angle_gamma 120.00
loop_
_atom_site_label
_atom_site_type_symbol
_atom_site_fract_x
_atom_site_fract_y
_atom_site_fract_z
Re1 Re 0.0000 0.0000 0.2441
Hg1 Hg 0.0000 0.0000 0.0000
Ir1 Ir 0.0000 0.0000 0.5000
```

=====

Entry 2:
First-principles (SCAN) data for a crystal of ReHgIr2 relaxed with PBEsol, as listed in Alexandria via LeMat-Bulk.

Computed properties:
Raw total energy: -70.31 eV per atom

The structure in CIF format:
```
data_ReHgIr2
_space_group_name_H-M_alt 'P 4/m m m'
_space_group_IT_number 123
_space_group_name_Hall '-P 4 2'
_cell_length_a 2.7994
_cell_length_b 2.7994
_cell_length_c 7.9200
_cell_angle_alpha 90.00
_cell_angle_beta 90.00
_cell_angle_gamma 90.00
loop_
_atom_site_label
_atom_site_type_symbol
_atom_site_fract_x
_atom_site_fract_y
_atom_site_fract_z
Re1 Re 0.0000 0.0000 0.0000
Hg1 Hg 0.0000 0.0000 0.5000
Ir1 Ir 0.5000 0.5000 0.2236
```

=====

Entry 3:
First-principles (SCAN) data for a crystal of Re2HgIr relaxed with PBEsol, as listed in Alexandria via LeMat-Bulk.

Computed properties:
Raw total energy: -70.05 eV per atom

The structure in CIF format:
```
data_Re2HgIr
_space_group_name_H-M_alt 'P 4 m m'
_space_group_IT_number 99
_space_group_name_Hall 'P 4 -2'
_cell_length_a 2.8039
_cell_length_b 2.8039
_cell_length_c 7.9374
_cell_angle_alpha 90.00
_cell_angle_beta 90.00
_cell_angle_gamma 90.00
loop_
_atom_site_label
_atom_site_type_symbol
_atom_site_fract_x
_atom_site_fract_y
_atom_site_fract_z
Re1 Re 0.0000 0.0000 0.0000
Re2 Re 0.5000 0.5000 0.2273
Hg1 Hg 0.0000 0.0000 0.5042
Ir1 Ir 0.5000 0.5000 0.7745
```

=====

Entry 4:
First-principles (SCAN) data for a crystal of ReHgIrRh2 relaxed with PBEsol, as listed in Alexandria via LeMat-Bulk.

Computed properties:
Raw total energy: -53.94 eV per atom

The structure in CIF format:
```
data_ReHgIrRh2
_space_group_name_H-M_alt 'P 4/m m m'
_space_group_IT_number 123
_space_group_name_Hall '-P 4 2'
_cell_length_a 4.6917
_cell_length_b 4.6917
_cell_length_c 4.6666
_cell_angle_alpha 90.00
_cell_angle_beta 90.00
_cell_angle_gamma 90.00
loop_
_atom_site_label
_atom_site_type_symbol
_atom_site_fract_x
_atom_site_fract_y
_atom_site_fract_z
Re1 Re 0.0000 0.0000 0.0000
Hg1 Hg 0.5000 0.5000 0.0000
Ir1 Ir 0.0000 0.0000 0.5000
Rh1 Rh 0.0000 0.5000 0.5000
```

=====

Entry 5:
First-principles (SCAN) data for a crystal of HgIrRh relaxed with PBEsol, as listed in Alexandria via LeMat-Bulk.

Computed properties:
Raw total energy: -57.25 eV per atom

The structure in CIF format:
```
data_HgIrRh
_space_group_name_H-M_alt 'F m m 2'
_space_group_IT_number 42
_space_group_name_Hall 'F 2 -2'
_cell_length_a 2.7604
_cell_length_b 4.8461
_cell_length_c 14.2282
_cell_angle_alpha 90.00
_cell_angle_beta 90.00
_cell_angle_gamma 90.00
loop_
_atom_site_label
_atom_site_type_symbol
_atom_site_fract_x
_atom_site_fract_y
_atom_site_fract_z
Hg1 Hg 0.0000 0.0000 0.0000
Ir1 Ir 0.0000 0.0000 0.6756
Rh1 Rh 0.0000 0.0000 0.3291
```

=====

Entry 6:
First-principles (SCAN) data for a crystal of HgIr2Rh relaxed with PBEsol, as listed in Alexandria via LeMat-Bulk.

Computed properties:
Raw total energy: -60.43 eV per atom

The structure in CIF format:
```
data_HgIr2Rh
_space_group_name_H-M_alt 'F -4 3 m'
_space_group_IT_number 216
_space_group_name_Hall 'F -4 2 3'
_cell_length_a 6.2687
_cell_length_b 6.2687
_cell_length_c 6.2687
_cell_angle_alpha 90.00
_cell_angle_beta 90.00
_cell_angle_gamma 90.00
loop_
_atom_site_label
_atom_site_type_symbol
_atom_site_fract_x
_atom_site_fract_y
_atom_site_fract_z
Hg1 Hg 0.0000 0.0000 0.0000
Ir1 Ir 0.0000 0.0000 0.5000
Ir2 Ir 0.2500 0.2500 0.7500
Rh1 Rh 0.2500 0.2500 0.2500
```